Here is a relaxed structure of Nd6IrSe3S2 from Alexandria. Energies are from PBE. Values from VASP.

The structure in Quantum ESPRESSO input format:
```
&SYSTEM
  ibrav = 0, nat = 12, ntyp = 4
/
ATOMIC_SPECIES
Nd 144.24 Nd.upf
Ir 192.22 Ir.upf
Se 78.96 Se.upf
S 32.06 S.upf
ATOMIC_POSITIONS crystal
Nd 0.3373 0.9093 0.6745
Nd 0.6696 0.5726 0.3393
Nd 0.6627 0.0907 0.3255
Nd 0.0025 0.2333 0.0049
Nd 0.9975 0.7667 0.9951
Nd 0.3304 0.4274 0.6607
Ir 0.5000 0.0000 0.0000
Se 0.5000 0.5000 0.0000
Se 0.8313 0.1696 0.6626
Se 0.1687 0.8304 0.3374
S 0.8319 0.6655 0.6639
S 0.1681 0.3345 0.3361
CELL_PARAMETERS angstrom
4.1248 0.0000 0.0000
0.0000 8.4602 0.2656
-2.0624 -2.4750 8.8546
```

Output
formation energy (no corrections): -1707 meV/atom